DFT (PBE-GGA) results for a relaxed Sn2Hg2Ge crystal.

a = 7.453 Å, b = 7.453 Å, c = 4.868 Å
α = 90.00°, β = 90.00°, γ = 90.00°
Space group P4/mbm (No. 127)
Inequivalent atoms, fractional coordinates:
Sn (0.145, 0.355, 0.000) (multiplicity 4)
Hg (0.170, 0.670, 0.500) (multiplicity 4)
Ge (0.000, 0.000, 0.000) (multiplicity 2)

## Properties
The calculation puts the total DFT energy (no corrections) at -2.47 eV/atom. The calculation puts the magnetic moment at 0.0 μB/f.u. As for the formation energy: 0.179 eV/atom. As for the density: 8.737 g/cm3. As for the relative energy among the computed polymorphs: 0 meV/atom.

---

DFT (PBE-GGA) results for a relaxed SnHgGe3 crystal.

a = 5.223 Å, b = 5.223 Å, c = 5.223 Å
α = 90.00°, β = 90.00°, γ = 90.00°
Space group Pm-3m (No. 221)
Inequivalent atoms, fractional coordinates:
Sn (0.000, 0.000, 0.000) (multiplicity 1)
Hg (0.500, 0.500, 0.500) (multiplicity 1)
Ge (0.000, 0.500, 0.500) (multiplicity 3)

## Properties
The calculation puts the total DFT energy (no corrections) at -2.82 eV/atom. The calculation puts the magnetic moment at 0.0 μB/f.u. As for the formation energy: 0.816 eV/atom. As for the density: 6.260 g/cm3. As for the relative energy among the computed polymorphs: 0 meV/atom.

---

DFT (PBE-GGA) results for a relaxed Sn2HgGe2 crystal.

a = 5.152 Å, b = 5.152 Å, c = 9.828 Å
α = 90.00°, β = 90.00°, γ = 90.00°
Space group I4/mmm (No. 139)
Inequivalent atoms, fractional coordinates:
Sn (0.000, 0.500, 0.250) (multiplicity 4)
Hg (0.000, 0.000, 0.000) (multiplicity 2)
Ge (0.000, 0.000, 0.373) (multiplicity 4)

## Properties
The calculation puts the total DFT energy (no corrections) at -3.37 eV/atom. The calculation puts the magnetic moment at 0.0 μB/f.u. As for the formation energy: 0.137 eV/atom. As for the density: 7.426 g/cm3. As for the relative energy among the computed polymorphs: 0 meV/atom.

---

DFT (PBE-GGA) results for a relaxed Sn2Hg2Ge crystal.

a = 3.984 Å, b = 3.984 Å, c = 17.619 Å
α = 90.00°, β = 90.00°, γ = 90.00°
Space group I4/mmm (No. 139)
Inequivalent atoms, fractional coordinates:
Sn (0.000, 0.000, 0.086) (multiplicity 4)
Hg (0.000, 0.500, 0.250) (multiplicity 4)
Ge (0.000, 0.000, 0.500) (multiplicity 2)

## Properties
The calculation puts the total DFT energy (no corrections) at -2.41 eV/atom. The calculation puts the magnetic moment at 0.0 μB/f.u. As for the formation energy: 0.232 eV/atom. As for the density: 8.448 g/cm3. As for the relative energy among the computed polymorphs: 53 meV/atom.